{"formula": "TaHRh3", "functional": "PBE-GGA", "state": "optimized geometry", "cell": [[0.000, 5.181, 5.181], [5.181, 0.000, 5.181], [5.181, 5.181, 0.000]], "species": ["Ta", "Ta", "Ta", "Ta", "H", "H", "H", "H", "Rh", "Rh", "Rh", "Rh", "Rh", "Rh", "Rh", "Rh", "Rh", "Rh", "Rh", "Rh"], "fractional_positions": [[0.000, 0.000, 0.000], [0.000, 0.000, 0.500], [0.000, 0.500, 0.000], [0.500, 0.000, 0.000], [0.000, 0.500, 0.500], [0.500, 0.000, 0.500], [0.500, 0.500, 0.000], [0.500, 0.500, 0.500], [0.178, 0.178, 0.572], [0.178, 0.572, 0.178], [0.178, 0.572, 0.572], [0.428, 0.428, 0.822], [0.428, 0.822, 0.428], [0.428, 0.822, 0.822], [0.572, 0.178, 0.178], [0.572, 0.178, 0.572], [0.572, 0.572, 0.178], [0.822, 0.428, 0.428], [0.822, 0.428, 0.822], [0.822, 0.822, 0.428]], "space_group": "Fd-3m (227)", "dos_at_fermi_per_ev_atom": 0.32, "density_g_cm3": 11.7, "relative_energy_ev_per_atom": 0.432}

=====

{"formula": "Ta2HRh", "functional": "PBE-GGA", "state": "optimized geometry", "cell": [[0.000, 3.078, 3.078], [3.078, 0.000, 3.078], [3.078, 3.078, 0.000]], "species": ["Ta", "Ta", "H", "Rh"], "fractional_positions": [[0.250, 0.250, 0.250], [0.750, 0.750, 0.750], [0.000, 0.000, 0.000], [0.500, 0.500, 0.500]], "space_group": "Fm-3m (225)", "dos_at_fermi_per_ev_atom": 1.04, "density_g_cm3": 13.3, "relative_energy_ev_per_atom": 0.476}

=====

{"formula": "TaHRh3", "functional": "PBE-GGA", "state": "optimized geometry", "cell": [[4.754, 0.000, 0.000], [0.000, 4.754, 0.000], [0.000, 0.000, 4.754]], "species": ["Ta", "H", "Rh", "Rh", "Rh"], "fractional_positions": [[0.000, 0.000, 0.000], [0.500, 0.500, 0.500], [0.000, 0.000, 0.500], [0.000, 0.500, 0.000], [0.500, 0.000, 0.000]], "space_group": "Pm-3m (221)", "dos_at_fermi_per_ev_atom": 0.92, "density_g_cm3": 7.6, "relative_energy_ev_per_atom": 2.021}

=====

{"formula": "TaHRh3", "functional": "PBE-GGA", "state": "optimized geometry", "cell": [[4.555, -5.678, 0.000], [4.555, 5.678, 0.000], [-0.242, 0.000, 4.848]], "species": ["Ta", "Ta", "Ta", "Ta", "H", "H", "H", "H", "Rh", "Rh", "Rh", "Rh", "Rh", "Rh", "Rh", "Rh", "Rh", "Rh", "Rh", "Rh"], "fractional_positions": [[0.050, 0.698, 0.934], [0.302, 0.950, 0.566], [0.698, 0.050, 0.434], [0.950, 0.302, 0.066], [0.327, 0.673, 0.750], [0.427, 0.573, 0.250], [0.573, 0.427, 0.750], [0.673, 0.327, 0.250], [0.055, 0.186, 0.572], [0.183, 0.564, 0.412], [0.186, 0.055, 0.072], [0.300, 0.431, 0.919], [0.431, 0.300, 0.419], [0.436, 0.817, 0.088], [0.564, 0.183, 0.912], [0.569, 0.700, 0.581], [0.700, 0.569, 0.081], [0.814, 0.945, 0.928], [0.817, 0.436, 0.588], [0.945, 0.814, 0.428]], "space_group": "C2/c (15)", "dos_at_fermi_per_ev_atom": 0.58, "density_g_cm3": 13.0, "relative_energy_ev_per_atom": 0.185}

=====

{"formula": "TaHRh3", "functional": "PBE-GGA", "state": "optimized geometry", "cell": [[3.961, 0.000, 0.000], [0.000, 5.604, 0.000], [-0.022, 0.000, 5.604]], "species": ["Ta", "Ta", "H", "H", "Rh", "Rh", "Rh", "Rh", "Rh", "Rh"], "fractional_positions": [[0.000, 0.000, 0.000], [0.010, 0.500, 0.519], [0.513, 0.000, 0.515], [0.710, 0.500, 0.210], [0.011, 0.500, 0.988], [0.482, 0.241, 0.250], [0.482, 0.759, 0.250], [0.498, 0.252, 0.753], [0.498, 0.748, 0.753], [0.995, 0.000, 0.504]], "space_group": "Pm (6)", "dos_at_fermi_per_ev_atom": 0.62, "density_g_cm3": 13.1, "relative_energy_ev_per_atom": 0.032}

=====

{"formula": "TaHRh", "functional": "PBE-GGA", "state": "optimized geometry", "cell": [[3.380, 0.000, 0.000], [0.000, 3.380, 0.000], [0.000, 0.000, 6.118]], "species": ["Ta", "Ta", "H", "H", "Rh", "Rh"], "fractional_positions": [[0.250, 0.250, 0.173], [0.750, 0.750, 0.827], [0.250, 0.750, 0.000], [0.750, 0.250, 0.000], [0.250, 0.250, 0.629], [0.750, 0.750, 0.371]], "space_group": "P4/nmm (129)", "dos_at_fermi_per_ev_atom": 0.69, "density_g_cm3": 13.5, "relative_energy_ev_per_atom": 0.044}

=====

{"formula": "TaHRh3", "functional": "PBE-GGA", "state": "optimized geometry", "cell": [[4.394, 0.000, 0.000], [-2.197, 3.805, 0.000], [0.000, 0.000, 7.882]], "species": ["Ta", "Ta", "H", "H", "Rh", "Rh", "Rh", "Rh", "Rh", "Rh"], "fractional_positions": [[0.333, 0.667, 0.250], [0.667, 0.333, 0.750], [0.000, 0.000, 0.000], [0.000, 0.000, 0.500], [0.000, 0.000, 0.250], [0.000, 0.000, 0.750], [0.333, 0.667, 0.577], [0.333, 0.667, 0.923], [0.667, 0.333, 0.077], [0.667, 0.333, 0.423]], "space_group": "P6_3/mmc (194)", "dos_at_fermi_per_ev_atom": 1.01, "density_g_cm3": 12.4, "relative_energy_ev_per_atom": 0.414}

=====

{"formula": "TaHRh3", "functional": "PBE-GGA", "state": "optimized geometry", "cell": [[6.862, -2.023, 0.000], [6.862, 2.023, 0.000], [-1.750, 0.000, 4.868]], "species": ["Ta", "Ta", "H", "H", "Rh", "Rh", "Rh", "Rh", "Rh", "Rh"], "fractional_positions": [[0.095, 0.095, 0.253], [0.905, 0.905, 0.747], [0.329, 0.329, 0.092], [0.671, 0.671, 0.908], [0.181, 0.181, 0.896], [0.308, 0.308, 0.441], [0.476, 0.476, 0.239], [0.524, 0.524, 0.761], [0.692, 0.692, 0.559], [0.819, 0.819, 0.104]], "space_group": "C2/m (12)", "dos_at_fermi_per_ev_atom": 0.75, "density_g_cm3": 12.1, "relative_energy_ev_per_atom": 0.382}

=====

{"formula": "TaHRh3", "functional": "PBE-GGA", "state": "optimized geometry", "cell": [[3.918, 0.000, 0.000], [0.000, 4.015, 3.917], [0.000, -4.015, 3.917]], "species": ["Ta", "Ta", "H", "H", "Rh", "Rh", "Rh", "Rh", "Rh", "Rh"], "fractional_positions": [[0.000, 0.237, 0.763], [0.000, 0.763, 0.237], [0.000, 0.486, 0.486], [0.500, 0.744, 0.744], [0.000, 0.246, 0.246], [0.000, 0.750, 0.750], [0.500, 0.000, 0.496], [0.500, 0.001, 0.001], [0.500, 0.496, 0.000], [0.500, 0.497, 0.497]], "space_group": "Amm2 (38)", "dos_at_fermi_per_ev_atom": 0.67, "density_g_cm3": 13.2, "relative_energy_ev_per_atom": 0.031}

=====

{"formula": "Ta2H2Rh", "functional": "PBE-GGA", "state": "optimized geometry", "cell": [[6.240, 0.000, 0.000], [0.000, 6.240, 0.000], [0.000, 0.000, 2.859]], "species": ["Ta", "Ta", "Ta", "Ta", "H", "H", "H", "H", "Rh", "Rh"], "fractional_positions": [[0.157, 0.343, 0.000], [0.343, 0.843, 0.000], [0.657, 0.157, 0.000], [0.843, 0.657, 0.000], [0.109, 0.609, 0.500], [0.391, 0.109, 0.500], [0.609, 0.891, 0.500], [0.891, 0.391, 0.500], [0.000, 0.000, 0.500], [0.500, 0.500, 0.500]], "space_group": "P4/mbm (127)", "dos_at_fermi_per_ev_atom": 0.61, "density_g_cm3": 13.9, "relative_energy_ev_per_atom": 0.338}

=====

{"formula": "TaHRh3", "functional": "PBE-GGA", "state": "optimized geometry", "cell": [[3.665, 2.116, 2.708], [-3.665, 2.116, 2.708], [0.000, -4.232, 2.708]], "species": ["Ta", "Ta", "H", "H", "Rh", "Rh", "Rh", "Rh", "Rh", "Rh"], "fractional_positions": [[0.000, 0.000, 0.000], [0.500, 0.500, 0.500], [0.250, 0.250, 0.250], [0.750, 0.750, 0.750], [0.032, 0.750, 0.468], [0.250, 0.532, 0.968], [0.468, 0.032, 0.750], [0.532, 0.968, 0.250], [0.750, 0.468, 0.032], [0.968, 0.250, 0.532]], "space_group": "R-3c (167)", "dos_at_fermi_per_ev_atom": 0.49, "density_g_cm3": 12.9, "relative_energy_ev_per_atom": 0.224}

=====

{"formula": "TaHRh", "functional": "PBE-GGA", "state": "optimized geometry", "cell": [[3.087, -2.856, 0.000], [3.087, 2.856, 0.000], [-3.086, 0.000, 3.916]], "species": ["Ta", "Ta", "H", "H", "Rh", "Rh"], "fractional_positions": [[0.000, 0.500, 0.000], [0.500, 0.000, 0.000], [0.000, 0.000, 0.000], [0.000, 0.000, 0.500], [0.277, 0.277, 0.506], [0.723, 0.723, 0.494]], "space_group": "C2/m (12)", "dos_at_fermi_per_ev_atom": 0.68, "density_g_cm3": 13.7, "relative_energy_ev_per_atom": 0.099}

=====

{"formula": "TaHRh3", "functional": "PBE-GGA", "state": "optimized geometry", "cell": [[4.494, -1.945, 0.000], [4.494, 1.945, 0.000], [-3.691, 0.000, 7.253]], "species": ["Ta", "Ta", "H", "H", "Rh", "Rh", "Rh", "Rh", "Rh", "Rh"], "fractional_positions": [[0.128, 0.128, 0.198], [0.872, 0.872, 0.802], [0.240, 0.760, 0.500], [0.760, 0.240, 0.500], [0.140, 0.140, 0.711], [0.369, 0.369, 0.570], [0.380, 0.380, 0.061], [0.620, 0.620, 0.939], [0.631, 0.631, 0.430], [0.860, 0.860, 0.289]], "space_group": "C2/m (12)", "dos_at_fermi_per_ev_atom": 1.12, "density_g_cm3": 12.9, "relative_energy_ev_per_atom": 0.194}

=====

{"formula": "TaHRh3", "functional": "PBE-GGA", "state": "optimized geometry", "cell": [[2.538, -7.078, 0.000], [2.538, 7.078, 0.000], [0.000, 0.000, 4.499]], "species": ["Ta", "Ta", "H", "H", "Rh", "Rh", "Rh", "Rh", "Rh", "Rh"], "fractional_positions": [[0.194, 0.806, 0.750], [0.806, 0.194, 0.250], [0.339, 0.661, 0.250], [0.661, 0.339, 0.750], [0.000, 0.000, 0.000], [0.000, 0.000, 0.500], [0.124, 0.405, 0.750], [0.405, 0.124, 0.250], [0.595, 0.876, 0.750], [0.876, 0.595, 0.250]], "space_group": "Cmcm (63)", "dos_at_fermi_per_ev_atom": 0.84, "density_g_cm3": 10.1, "relative_energy_ev_per_atom": 0.988}

=====

{"formula": "Ta2H2Rh", "functional": "PBE-GGA", "state": "optimized geometry", "cell": [[2.946, 0.000, 0.000], [0.000, 2.946, 0.000], [0.000, 0.000, 6.591]], "species": ["Ta", "Ta", "H", "H", "Rh"], "fractional_positions": [[0.000, 0.000, 0.217], [0.000, 0.000, 0.783], [0.000, 0.500, 0.000], [0.500, 0.000, 0.000], [0.500, 0.500, 0.500]], "space_group": "P4/mmm (123)", "dos_at_fermi_per_ev_atom": 0.73, "density_g_cm3": 13.5, "relative_energy_ev_per_atom": 0.156}

=====

{"formula": "Ta2H2Rh", "functional": "PBE-GGA", "state": "optimized geometry", "cell": [[2.650, -4.439, 0.000], [2.650, 4.439, 0.000], [-1.905, 0.000, 4.655]], "species": ["Ta", "Ta", "Ta", "Ta", "H", "H", "H", "H", "Rh", "Rh"], "fractional_positions": [[0.087, 0.913, 0.750], [0.263, 0.737, 0.250], [0.737, 0.263, 0.750], [0.913, 0.087, 0.250], [0.108, 0.297, 0.996], [0.297, 0.108, 0.496], [0.703, 0.892, 0.504], [0.892, 0.703, 0.004], [0.404, 0.596, 0.750], [0.596, 0.404, 0.250]], "space_group": "C2/c (15)", "dos_at_fermi_per_ev_atom": 0.47, "density_g_cm3": 14.2, "relative_energy_ev_per_atom": 0.087}

=====

{"formula": "TaH3Rh", "functional": "PBE-GGA", "state": "optimized geometry", "cell": [[-1.513, 1.513, 4.586], [1.513, -1.513, 4.586], [1.513, 1.513, -4.586]], "species": ["Ta", "H", "H", "H", "Rh"], "fractional_positions": [[0.000, 0.000, 0.000], [0.359, 0.859, 0.500], [0.501, 0.501, 0.000], [0.859, 0.359, 0.500], [0.692, 0.692, 0.000]], "space_group": "I4mm (107)", "total_energy_ev_per_cell": -29.906, "dos_at_fermi_per_ev_atom": 0.28, "density_g_cm3": 11.3}

=====

{"formula": "Ta3HRh", "functional": "PBE-GGA", "state": "optimized geometry", "cell": [[4.819, 0.000, 0.000], [0.000, 4.819, 0.000], [0.000, 0.000, 4.819]], "species": ["Ta", "Ta", "Ta", "H", "Rh"], "fractional_positions": [[0.000, 0.000, 0.500], [0.000, 0.500, 0.000], [0.500, 0.000, 0.000], [0.500, 0.500, 0.500], [0.000, 0.000, 0.000]], "space_group": "Pm-3m (221)", "dos_at_fermi_per_ev_atom": 0.66, "density_g_cm3": 9.6, "relative_energy_ev_per_atom": 1.909}

=====

{"formula": "TaHRh3", "functional": "PBE-GGA", "state": "optimized geometry", "cell": [[3.818, 0.000, 0.000], [0.000, 3.818, 0.000], [0.000, 0.000, 5.964]], "species": ["Ta", "H", "Rh", "Rh", "Rh"], "fractional_positions": [[0.000, 0.000, 0.000], [0.500, 0.500, 0.332], [0.000, 0.000, 0.615], [0.000, 0.500, 0.279], [0.500, 0.000, 0.279]], "space_group": "P4mm (99)", "dos_at_fermi_per_ev_atom": 0.53, "density_g_cm3": 9.4, "relative_energy_ev_per_atom": 0.859}

=====

{"formula": "TaHRh3", "functional": "PBE-GGA", "state": "optimized geometry", "cell": [[3.232, -3.945, 0.000], [3.232, 3.945, 0.000], [0.000, 0.000, 5.194]], "species": ["Ta", "Ta", "H", "H", "Rh", "Rh", "Rh", "Rh", "Rh", "Rh"], "fractional_positions": [[0.093, 0.907, 0.750], [0.907, 0.093, 0.250], [0.349, 0.651, 0.750], [0.651, 0.349, 0.250], [0.003, 0.394, 0.750], [0.394, 0.003, 0.250], [0.500, 0.500, 0.000], [0.500, 0.500, 0.500], [0.606, 0.997, 0.750], [0.997, 0.606, 0.250]], "space_group": "Cmcm (63)", "dos_at_fermi_per_ev_atom": 0.78, "density_g_cm3": 12.3, "relative_energy_ev_per_atom": 0.492}